[1]
First-principles (GGA-PBE) data for crystalline TiSn2W at its relaxed geometry, as listed in Alexandria via LeMat-Bulk.

Cell: 4.079 4.079 10.447 Å, 78.74 78.74 90.00°
Fractional positions:
Ti1 0.500 0.500 0.000
Sn1 0.375 0.376 0.750
Ti2 0.250 0.750 0.500
W1 0.000 0.000 0.000
W2 0.750 0.250 0.500
Sn2 0.126 0.625 0.250
Sn3 0.624 0.125 0.250
Sn4 0.875 0.874 0.750

Calculated values
M_tot in Bohr magnetons per cell: 0.00
Symmetry: I-42d (122)
DFT total energy in eV for the cell shown: -53.26


[2]
First-principles (GGA-PBE) data for crystalline Al2InOs at its relaxed geometry, as listed in Alexandria via LeMat-Bulk.

Cell: 4.483 4.483 3.197 Å, 90.00 90.00 90.00°
Fractional positions:
Al1 0.000 0.000 0.000
In1 0.500 0.000 0.500
Al2 0.500 0.500 0.000
Os1 0.000 0.500 0.500

Calculated values
M_tot in Bohr magnetons per cell: 0.00
Symmetry: P4/mmm (123)
DFT total energy in eV for the cell shown: -20.90


[3]
First-principles (GGA-PBE) data for crystalline Cd5AgAu8 at its relaxed geometry, as listed in Alexandria via LeMat-Bulk.

Cell: 7.187 7.187 7.187 Å, 109.54 109.33 109.54°
Fractional positions:
Cd1 0.878 0.880 0.245
Cd2 0.755 0.633 0.634
Au1 0.459 0.581 0.204
Cd3 0.002 0.367 0.122
Au2 0.953 0.080 0.697
Au3 0.303 0.257 0.383
Au4 0.623 0.419 0.879
Au5 0.127 0.743 0.047
Au6 0.121 0.745 0.541
Au7 0.796 0.255 0.377
Cd4 0.500 0.000 0.500
Ag1 0.250 0.500 0.750
Au8 0.617 0.920 0.873
Cd5 0.366 0.120 0.998

Calculated values
M_tot in Bohr magnetons per cell: 0.00
Symmetry: I-4 (82)
DFT total energy in eV for the cell shown: -34.52


[4]
First-principles (GGA-PBE) data for crystalline Sr2MgNi3Sb4 at its relaxed geometry, as listed in Alexandria via LeMat-Bulk.

Cell: 4.545 4.545 10.923 Å, 90.00 90.00 90.00°
Fractional positions:
Sb1 0.000 0.000 0.000
Sb2 0.500 0.000 0.647
Mg1 0.500 0.500 0.500
Sr1 0.500 0.000 0.242
Ni1 0.500 0.000 0.883
Ni2 0.000 0.000 0.500
Sb3 0.500 0.500 0.000
Sr2 0.000 0.500 0.758
Sb4 0.000 0.500 0.353
Ni3 0.000 0.500 0.117

Calculated values
M_tot in Bohr magnetons per cell: 0.00
Symmetry: P-4m2 (115)
DFT total energy in eV for the cell shown: -44.28
Formation energy (no corrections) in kJ/mol of formula units: -530


[5]
First-principles (GGA-PBE) data for crystalline Li2AgRuN at its relaxed geometry, as listed in Alexandria via LeMat-Bulk.

Cell: 4.110 4.110 3.815 Å, 90.00 90.00 90.00°
Fractional positions:
Li1 0.000 0.500 0.000
Ag1 0.500 0.500 0.500
N1 0.000 0.000 0.000
Ru1 0.000 0.000 0.500
Li2 0.500 0.000 0.000

Calculated values
M_tot in Bohr magnetons per cell: 0.00
Symmetry: P4/mmm (123)
DFT total energy in eV for the cell shown: -25.26
Formation energy (no corrections) in kJ/mol of formula units: -95


[6]
First-principles (GGA-PBE) data for crystalline ErAlIn2Pd4 at its relaxed geometry, as listed in Alexandria via LeMat-Bulk.

Cell: 4.674 4.674 8.029 Å, 73.08 73.08 60.00°
Fractional positions:
Pd1 0.613 0.613 0.162
Pd2 0.870 0.870 0.391
Al1 0.500 0.500 0.500
In1 0.748 0.748 0.757
In2 0.252 0.252 0.243
Pd3 0.130 0.130 0.609
Pd4 0.387 0.387 0.838
Er1 0.000 0.000 0.000

Calculated values
M_tot in Bohr magnetons per cell: 0.00
Symmetry: R-3m (166)
DFT total energy in eV for the cell shown: -40.37


[7]
First-principles (GGA-PBE) data for crystalline ThScSeS at its relaxed geometry, as listed in Alexandria via LeMat-Bulk.

Cell: 3.828 3.827 7.358 Å, 90.00 105.09 119.99°
Fractional positions:
Sc1 0.120 0.958 0.094
Se1 0.949 0.373 0.337
Th1 0.484 0.140 0.638
S1 0.325 0.560 0.900

Calculated values
M_tot in Bohr magnetons per cell: 0.00
Symmetry: R3m (160)
DFT total energy in eV for the cell shown: -28.04
Formation energy (no corrections) in kJ/mol of formula units: -644


[8]
First-principles (GGA-PBE) data for crystalline Pr3HoZn2 at its relaxed geometry, as listed in Alexandria via LeMat-Bulk.

Cell: 3.708 3.708 12.404 Å, 90.00 90.00 90.00°
Fractional positions:
Pr1 0.000 0.000 0.296
Ho1 0.500 0.500 0.500
Zn1 0.500 0.500 0.851
Pr2 0.000 0.000 0.704
Zn2 0.500 0.500 0.149
Pr3 0.000 0.000 0.000

Calculated values
M_tot in Bohr magnetons per cell: 0.00
Symmetry: P4/mmm (123)
DFT total energy in eV for the cell shown: -22.60


[9]
First-principles (GGA-PBE) data for crystalline IrC3 at its relaxed geometry, as listed in Alexandria via LeMat-Bulk.

Cell: 5.977 5.977 5.464 Å, 90.00 90.00 134.42°
Fractional positions:
Ir1 0.528 0.472 0.750
C1 0.258 0.030 0.750
Ir2 0.472 0.528 0.250
C2 0.970 0.742 0.750
C3 0.996 0.004 0.750
C4 0.030 0.258 0.250
C5 0.742 0.970 0.250
C6 0.004 0.996 0.250

Calculated values
M_tot in Bohr magnetons per cell: 0.00
Symmetry: Cmcm (63)
DFT total energy in eV for the cell shown: -58.36


[10]
First-principles (GGA-PBE) data for crystalline Y8In at its relaxed geometry, as listed in Alexandria via LeMat-Bulk.

Cell: 3.884 8.743 8.743 Å, 87.17 77.17 77.17°
Fractional positions:
Y1 0.341 0.000 0.317
Y2 0.000 0.663 0.337
Y3 0.341 0.317 0.000
Y4 0.659 0.683 0.000
Y5 0.337 0.663 0.663
Y6 0.663 0.337 0.337
In1 0.000 0.000 0.000
Y7 0.000 0.337 0.663
Y8 0.659 0.000 0.683

Calculated values
M_tot in Bohr magnetons per cell: 2.06
Symmetry: I4/mmm (139)
DFT total energy in eV for the cell shown: -54.72


[11]
First-principles (GGA-PBE) data for crystalline RbBaAuCl at its relaxed geometry, as listed in Alexandria via LeMat-Bulk.

Cell: 5.757 5.757 5.757 Å, 60.00 60.00 60.00°
Fractional positions:
Cl1 0.250 0.250 0.250
Ba1 0.500 0.500 0.500
Au1 0.750 0.750 0.750
Rb1 0.000 0.000 0.000

Calculated values
M_tot in Bohr magnetons per cell: 0.00
Symmetry: F-43m (216)
DFT total energy in eV for the cell shown: -12.05
Formation energy (no corrections) in kJ/mol of formula units: -390


[12]
First-principles (GGA-PBE) data for crystalline Ba2TcMo2 at its relaxed geometry, as listed in Alexandria via LeMat-Bulk.

Cell: 3.551 3.551 11.303 Å, 80.96 80.96 90.00°
Fractional positions:
Mo1 0.250 0.750 0.500
Ba1 0.399 0.399 0.201
Tc1 0.000 0.000 0.000
Ba2 0.601 0.601 0.799
Mo2 0.750 0.250 0.500

Calculated values
M_tot in Bohr magnetons per cell: 1.82
Symmetry: I4/mmm (139)
DFT total energy in eV for the cell shown: -30.19


[13]
First-principles (GGA-PBE) data for crystalline Tb2Y8In at its relaxed geometry, as listed in Alexandria via LeMat-Bulk.

Cell: 5.564 6.462 10.107 Å, 94.67 105.98 90.00°
Fractional positions:
In1 0.500 0.000 0.000
Y1 0.955 0.737 0.911
Y2 0.045 0.263 0.089
Y3 0.154 0.806 0.308
Y4 0.339 0.877 0.677
Y5 0.846 0.194 0.692
Y6 0.661 0.123 0.323
Tb1 0.243 0.337 0.486
Y7 0.578 0.598 0.157
Tb2 0.757 0.663 0.514
Y8 0.422 0.402 0.843

Calculated values
M_tot in Bohr magnetons per cell: 0.00
Symmetry: C2/m (12)
DFT total energy in eV for the cell shown: -64.42


[14]
First-principles (GGA-PBE) data for crystalline BaLi10Ag3 at its relaxed geometry, as listed in Alexandria via LeMat-Bulk.

Cell: 9.684 9.684 9.684 Å, 60.00 60.00 60.00°
Fractional positions:
Li1 0.000 0.337 0.663
Li2 0.000 0.000 0.663
Li3 0.395 0.395 0.395
Ag1 0.265 0.735 0.735
Li4 0.000 0.000 0.337
Li5 0.663 0.000 0.337
Li6 0.395 0.816 0.395
Li7 0.000 0.663 0.000
Li8 0.816 0.395 0.395
Li9 0.337 0.000 0.000
Ag2 0.265 0.265 0.735
Ag3 0.735 0.265 0.735
Ba1 0.750 0.750 0.750
Li10 0.337 0.000 0.663
Li11 0.663 0.337 0.000
Ag4 0.735 0.265 0.265
Li12 0.000 0.663 0.337
Li13 0.395 0.395 0.816
Ag5 0.735 0.735 0.265
Li14 0.000 0.337 0.000
Ba2 0.250 0.250 0.250
Li15 0.337 0.663 0.000
Li16 0.663 0.000 0.000
Li17 0.605 0.184 0.605
Li18 0.184 0.605 0.605
Li19 0.605 0.605 0.605
Ag6 0.265 0.735 0.265
Li20 0.605 0.605 0.184

Calculated values
M_tot in Bohr magnetons per cell: 0.00
Symmetry: Fm-3m (225)
DFT total energy in eV for the cell shown: -60.09


[15]
First-principles (GGA-PBE) data for crystalline CaZnTc2 at its relaxed geometry, as listed in Alexandria via LeMat-Bulk.

Cell: 4.068 4.068 10.062 Å, 78.34 78.34 90.00°
Fractional positions:
Zn1 0.750 0.250 0.500
Ca1 0.500 0.500 0.000
Tc1 0.720 0.625 0.250
Tc2 0.375 0.970 0.750
Zn2 0.000 0.000 0.000
Tc3 0.030 0.125 0.250
Tc4 0.875 0.280 0.750
Ca2 0.250 0.750 0.500

Calculated values
M_tot in Bohr magnetons per cell: 0.00
Symmetry: I-42d (122)
DFT total energy in eV for the cell shown: -43.33


[16]
First-principles (GGA-PBE) data for crystalline Al3Mo5 at its relaxed geometry, as listed in Alexandria via LeMat-Bulk.

Cell: 5.458 5.458 4.227 Å, 90.00 90.00 101.90°
Fractional positions:
Mo1 0.257 0.257 0.500
Mo2 0.000 0.500 0.000
Mo3 0.743 0.743 0.500
Al1 0.246 0.754 0.500
Mo4 0.500 0.000 0.000
Al2 0.500 0.500 0.000
Al3 0.754 0.246 0.500
Mo5 0.000 0.000 0.000

Calculated values
M_tot in Bohr magnetons per cell: 0.00
Symmetry: Cmmm (65)
DFT total energy in eV for the cell shown: -65.33


[17]
First-principles (GGA-PBE) data for crystalline TiInAu at its relaxed geometry, as listed in Alexandria via LeMat-Bulk.

Cell: 7.731 6.106 6.761 Å, 48.80 94.86 81.46°
Fractional positions:
Au1 0.660 0.319 0.021
In1 0.000 0.000 0.000
Au2 0.160 0.319 0.521
Au3 0.340 0.681 0.979
In2 0.000 0.500 0.000
In3 0.500 0.000 0.500
In4 0.500 0.500 0.500
Ti1 0.336 0.172 0.991
Au4 0.840 0.681 0.479
Ti2 0.664 0.828 0.009
Ti3 0.164 0.828 0.509
Ti4 0.836 0.172 0.491

Calculated values
M_tot in Bohr magnetons per cell: 2.85
Symmetry: C2/m (12)
DFT total energy in eV for the cell shown: -57.65


[18]
First-principles (GGA-PBE) data for crystalline HfSc4Cu5 at its relaxed geometry, as listed in Alexandria via LeMat-Bulk.

Cell: 3.230 3.230 16.520 Å, 90.00 90.00 90.00°
Fractional positions:
Cu1 0.500 0.500 0.300
Cu2 0.500 0.500 0.098
Sc1 0.000 0.000 0.600
Cu3 0.500 0.500 0.500
Hf1 0.000 0.000 0.000
Sc2 0.000 0.000 0.200
Sc3 0.000 0.000 0.800
Cu4 0.500 0.500 0.700
Cu5 0.500 0.500 0.902
Sc4 0.000 0.000 0.400

Calculated values
M_tot in Bohr magnetons per cell: 0.33
Symmetry: P4/mmm (123)
DFT total energy in eV for the cell shown: -58.19


[19]
First-principles (GGA-PBE) data for crystalline LaNiRu2 at its relaxed geometry, as listed in Alexandria via LeMat-Bulk.

Cell: 3.121 3.121 7.056 Å, 90.00 90.00 90.01°
Fractional positions:
Ni1 0.500 0.500 0.750
Ru1 0.000 0.000 0.934
La1 0.500 0.500 0.250
Ru2 0.000 0.000 0.566

Calculated values
M_tot in Bohr magnetons per cell: 0.03
Symmetry: P4/mmm (123)
DFT total energy in eV for the cell shown: -27.94


[20]
First-principles (GGA-PBE) data for crystalline Hg5Au3 at its relaxed geometry, as listed in Alexandria via LeMat-Bulk.

Cell: 8.269 8.269 7.974 Å, 95.16 95.16 137.68°
Fractional positions:
Hg1 0.292 0.595 0.862
Hg2 0.906 0.209 0.138
Au1 0.299 0.799 0.181
Hg3 0.266 0.766 0.540
Hg4 0.735 0.235 0.461
Hg5 0.824 0.965 0.694
Hg6 0.095 0.792 0.862
Hg7 0.465 0.324 0.694
Au2 0.163 0.338 0.500
Au3 0.745 0.756 0.000
Au4 0.256 0.245 0.000
Hg8 0.177 0.036 0.307
Au5 0.838 0.663 0.500
Au6 0.702 0.202 0.820
Hg9 0.536 0.677 0.307
Hg10 0.709 0.406 0.138

Calculated values
M_tot in Bohr magnetons per cell: 0.00
Symmetry: C2/m (12)
DFT total energy in eV for the cell shown: -21.41


[21]
First-principles (GGA-PBE) data for crystalline RbNa2Sr at its relaxed geometry, as listed in Alexandria via LeMat-Bulk.

Cell: 4.574 4.574 10.042 Å, 90.00 90.00 90.00°
Fractional positions:
Na1 0.000 0.000 0.722
Na2 0.000 0.000 0.278
Sr1 0.500 0.500 0.500
Rb1 0.500 0.500 0.000

Calculated values
M_tot in Bohr magnetons per cell: 0.00
Symmetry: P4/mmm (123)
DFT total energy in eV for the cell shown: -5.10


[22]
First-principles (GGA-PBE) data for crystalline Ti4ZnPd3 at its relaxed geometry, as listed in Alexandria via LeMat-Bulk.

Cell: 2.744 7.819 7.449 Å, 121.66 100.61 90.00°
Fractional positions:
Pd1 0.814 0.814 0.628
Ti1 0.358 0.159 0.716
Ti2 0.642 0.443 0.284
Pd2 0.000 0.500 0.000
Zn1 0.500 0.000 0.000
Pd3 0.186 0.186 0.372
Ti3 0.358 0.557 0.716
Ti4 0.642 0.841 0.284

Calculated values
M_tot in Bohr magnetons per cell: 0.00
Symmetry: Immm (71)
DFT total energy in eV for the cell shown: -50.49


[23]
First-principles (GGA-PBE) data for crystalline LiNp5Te8 at its relaxed geometry, as listed in Alexandria via LeMat-Bulk.

Cell: 8.033 8.033 8.033 Å, 110.08 108.27 110.08°
Fractional positions:
Te1 0.762 0.244 0.361
Li1 0.250 0.500 0.750
Np1 0.005 0.370 0.127
Te2 0.639 0.400 0.883
Te3 0.973 0.107 0.719
Np2 0.365 0.123 0.995
Np3 0.500 0.000 0.500
Np4 0.758 0.630 0.635
Te4 0.117 0.756 0.517
Te5 0.281 0.254 0.388
Np5 0.873 0.877 0.242
Te6 0.612 0.893 0.866
Te7 0.134 0.746 0.027
Te8 0.483 0.600 0.238

Calculated values
M_tot in Bohr magnetons per cell: 20.00
Symmetry: I-4 (82)
DFT total energy in eV for the cell shown: -101.79
Formation energy (no corrections) in kJ/mol of formula units: -969